Density functional theory data (PBE) for an optimized crystal structure of TmCo3Ge.

It has space group Imma (No. 74), with a = 4.896 Å, b = 7.217 Å, c = 8.394 Å, α = 90.00°, β = 90.00° and γ = 90.00°. Symmetry generates all atoms from Tm at (0.000, 0.250, 0.011), Co at (0.000, 0.250, 0.689), Co at (0.250, 0.029, 0.250) and Ge at (0.000, 0.000, 0.500).

For the total energy, the calculation gives -6.292 eV/atom. For the energy relative to the elements, the calculation gives -1.1 eV per formula unit. The calculation puts the total magnetization at 0.389 μB per atom.